1.
This record from OQMD via LeMat-Bulk describes Er3Sb2P after structural relaxation. The functional is GGA-PBE.

Summary:
Raw total energy   -34.7 eV per cell
Size of the total moment   0.00 μB/f.u.

Cell: 4.189 4.189 10.488 Å, 90.00 90.00 120.00°
Element x y z (fractional)
Er: 0.000 0.000 0.000
Er: 0.333 0.667 0.645
Er: 0.667 0.333 0.355
Sb: 0.333 0.667 0.176
Sb: 0.667 0.333 0.824
P: 0.000 0.000 0.500


2.
This record from OQMD via LeMat-Bulk describes Er3SbP2 after structural relaxation. The functional is GGA-PBE.

Summary:
Raw total energy   -37.1 eV per cell
Size of the total moment   0.00 μB/f.u.

Cell: 4.045 4.045 10.233 Å, 90.00 90.00 120.00°
Element x y z (fractional)
Er: 0.000 0.000 0.000
Er: 0.333 0.667 0.692
Er: 0.667 0.333 0.308
Sb: 0.000 0.000 0.500
P: 0.333 0.667 0.157
P: 0.667 0.333 0.843


3.
This record from OQMD via LeMat-Bulk describes Er2ScP3 after structural relaxation. The functional is GGA-PBE.

Summary:
Raw total energy   -41.1 eV per cell
Size of the total moment   0.00 μB/f.u.

Cell: 3.901 3.901 9.528 Å, 90.00 90.00 120.00°
Element x y z (fractional)
Er: 0.333 0.667 0.328
Er: 0.667 0.333 0.672
Sc: 0.000 0.000 0.000
P: 0.000 0.000 0.500
P: 0.333 0.667 0.844
P: 0.667 0.333 0.156


4.
This record from OQMD via LeMat-Bulk describes ErSc2P3 after structural relaxation. The functional is GGA-PBE.

Summary:
Raw total energy   -42.6 eV per cell
Size of the total moment   0.00 μB/f.u.

Cell: 3.829 3.829 9.351 Å, 90.00 90.00 120.00°
Element x y z (fractional)
Er: 0.000 0.000 0.000
Sc: 0.333 0.667 0.339
Sc: 0.667 0.333 0.661
P: 0.000 0.000 0.500
P: 0.333 0.667 0.822
P: 0.667 0.333 0.178


5.
This record from OQMD via LeMat-Bulk describes Er3PSe2 after structural relaxation. The functional is GGA-PBE.

Summary:
Raw total energy   -36.5 eV per cell
Size of the total moment   0.00 μB/f.u.

Cell: 4.006 4.006 9.894 Å, 90.00 90.00 120.00°
Element x y z (fractional)
Er: 0.000 0.000 0.000
Er: 0.333 0.667 0.650
Er: 0.667 0.333 0.350
P: 0.000 0.000 0.500
Se: 0.333 0.667 0.169
Se: 0.667 0.333 0.831


6.
This record from OQMD via LeMat-Bulk describes Er2PSe after structural relaxation. The functional is GGA-PBE.

Summary:
E above lowest polymorph   36 meV per atom
Size of the total moment   0.00 μB/f.u.

Cell: 3.998 3.998 5.646 Å, 90.00 90.00 90.00°
Element x y z (fractional)
Er: 0.000 0.000 0.000
Er: 0.500 0.500 0.500
P: 0.000 0.000 0.500
Se: 0.500 0.500 0.000


7.
This record from OQMD via LeMat-Bulk describes ErTe2PSe2 after structural relaxation. The functional is GGA-PBE.

Summary:
Raw total energy   -53.9 eV per cell
Size of the total moment   0.00 μB/f.u.

Cell: 7.121 7.189 8.307 Å, 88.64 87.27 77.57°
Element x y z (fractional)
Er: 0.215 0.198 0.064
Er: 0.785 0.802 0.936
Te: 0.054 0.043 0.754
Te: 0.145 0.507 0.780
Te: 0.855 0.493 0.220
Te: 0.946 0.957 0.246
P: 0.326 0.768 0.813
P: 0.674 0.232 0.187
Se: 0.402 0.787 0.072
Se: 0.406 0.269 0.338
Se: 0.594 0.731 0.662
Se: 0.598 0.213 0.928


8.
This record from OQMD via LeMat-Bulk describes ErTe3PSe after structural relaxation. The functional is GGA-PBE.

Summary:
Raw total energy   -52.1 eV per cell
Size of the total moment   0.00 μB/f.u.

Cell: 7.109 7.461 8.083 Å, 86.95 87.42 81.50°
Element x y z (fractional)
Er: 0.205 0.208 0.062
Er: 0.795 0.792 0.938
Te: 0.069 0.026 0.750
Te: 0.123 0.515 0.770
Te: 0.387 0.782 0.109
Te: 0.613 0.218 0.891
Te: 0.877 0.485 0.230
Te: 0.931 0.974 0.250
P: 0.320 0.760 0.810
P: 0.680 0.240 0.190
Se: 0.411 0.267 0.339
Se: 0.589 0.733 0.661


9.
This record from OQMD via LeMat-Bulk describes SmEr2P3 after structural relaxation. The functional is GGA-PBE.

Summary:
Raw total energy   -39.6 eV per cell
Size of the total moment   0.00 μB/f.u.

Cell: 4.014 4.014 9.828 Å, 90.00 90.00 120.00°
Element x y z (fractional)
Sm: 0.000 0.000 0.000
Er: 0.333 0.667 0.337
Er: 0.667 0.333 0.663
P: 0.000 0.000 0.500
P: 0.333 0.667 0.826
P: 0.667 0.333 0.174


10.
This record from OQMD via LeMat-Bulk describes TbEr2P3 after structural relaxation. The functional is GGA-PBE.

Summary:
E above lowest polymorph   908 meV per atom
Size of the total moment   0.01 μB/f.u.

Cell: 6.679 6.679 3.772 Å, 90.00 90.00 120.00°
Element x y z (fractional)
Tb: 0.000 0.000 0.000
Er: 0.333 0.667 0.000
Er: 0.667 0.333 0.000
P: 0.000 0.500 0.500
P: 0.500 0.000 0.500
P: 0.500 0.500 0.500


11.
This record from OQMD via LeMat-Bulk describes TbEr2P3 after structural relaxation. The functional is GGA-PBE.

Summary:
E above lowest polymorph   0 meV per atom
Size of the total moment   0.00 μB/f.u.

Cell: 3.988 3.988 9.758 Å, 90.00 90.00 120.00°
Element x y z (fractional)
Tb: 0.000 0.000 0.000
Er: 0.333 0.667 0.335
Er: 0.667 0.333 0.665
P: 0.000 0.000 0.500
P: 0.333 0.667 0.830
P: 0.667 0.333 0.170


12.
This record from OQMD via LeMat-Bulk describes Er2TeP after structural relaxation. The functional is GGA-PBE.

Summary:
Raw total energy   -23.8 eV per cell
Size of the total moment   0.01 μB/f.u.

Cell: 7.368 7.368 7.368 Å, 32.13 32.13 32.13°
Element x y z (fractional)
Er: 0.236 0.236 0.236
Er: 0.764 0.764 0.764
Te: 0.000 0.000 0.000
P: 0.500 0.500 0.500